[1]
The following is a DFT calculation (PBE) of an optimized crystal structure of AlCuTeS.

Structure (POSCAR):
```
AlCuTeS
1.0
-2.853 2.854 5.643
2.853 -2.854 5.643
2.853 2.854 -5.643
Al Cu Te S
2 2 2 2
direct
0.139 0.389 0.750 Al
0.361 0.111 0.250 Al
0.649 0.899 0.750 Cu
0.851 0.601 0.250 Cu
0.250 0.513 0.263 Te
0.750 0.987 0.237 Te
0.013 0.750 0.763 S
0.487 0.250 0.737 S
```

## Properties
* SG: No. 24
* offset from the most stable computed form: 25 meV/atom

---

[2]
The following is a DFT calculation (PBE) of an optimized crystal structure of TaAuO3.

Structure (POSCAR):
```
TaAuO3
1.0
2.701 1.559 5.403
-2.701 1.559 5.403
0.000 -3.118 5.403
Ta Au O
2 2 6
direct
0.157 0.157 0.157 Ta
0.843 0.843 0.843 Ta
0.366 0.366 0.366 Au
0.634 0.634 0.634 Au
0.035 0.441 0.819 O
0.181 0.965 0.559 O
0.441 0.819 0.035 O
0.559 0.181 0.965 O
0.819 0.035 0.441 O
0.965 0.559 0.181 O
```

## Properties
* SG: No. 148

---

Number 1: V 184 Å³/cell, E_tot -4.196 eV/atom. Number 2: V 136 Å³/cell, E_tot -7.678 eV/atom.